A geometry-optimized Sr7H12Br2 structure. Source: the Alexandria database, functional GGA-PBE.

Properties
VASP energy in eV per atom: -3.44
Density in kg/m³: 3747

a b c (Å): 10.0173 10.0173 4.0040
angles (deg): 90.00 90.00 120.00
Last column: nearest neighbours and their distance in Å.
Space group P-6 (No. 174)
Symmetry-distinct sites (fractional):
Sr1 0.0000 0.0000 0.0000 x1  3 H 2.39
Sr2 0.0993 0.6915 0.0000 x3  5 H 2.40-2.55
Sr3 0.3918 0.1092 0.5000 x3  7 H 2.47-2.60
H1 0.0621 0.4230 0.0000 x3  4 Sr 2.52-2.55, 1 H 2.69
H2 0.1062 0.2130 0.5000 x3  5 Sr 2.58-2.82, 2 H 2.87
H3 0.2748 0.1531 0.0000 x3  4 Sr 2.39-2.47
H4 0.4401 0.3894 0.5000 x3  4 Sr 2.45-2.60
Br1 0.3333 0.6667 0.5000 x1  6 Sr 3.19, 9 H 3.27-3.44
Br2 0.6667 0.3333 0.0000 x1  6 Sr 3.23, 12 H 3.28-3.60

A geometry-optimized SrHBr structure. Source: the Alexandria database, functional GGA-PBE.

Properties
VASP energy in eV per atom: -3.39
Density in kg/m³: 3619

a b c (Å): 4.8171 4.8171 13.3306
angles (deg): 90.00 90.00 90.00
Last column: nearest neighbours and their distance in Å.
Space group I4/mmm (No. 139)
Symmetry-distinct sites (fractional):
Sr1 0.0000 0.0000 0.1534 x4  4 H 2.73
H1 0.0000 0.5000 0.2500 x4  4 Sr 2.73
Br1 0.0000 0.5000 0.0000 x4  4 Sr 3.16, 2 H 3.33, 4 Br 3.41

A geometry-optimized SrHBr2 structure. Source: the Alexandria database, functional GGA-PBE.

Properties
VASP energy in eV per atom: -3.12
Density in kg/m³: 3973

a b c (Å): 7.4611 7.4611 7.4611
angles (deg): 90.00 90.00 90.00
Last column: nearest neighbours and their distance in Å.
Space group Fm-3m (No. 225)
Symmetry-distinct sites (fractional):
Sr1 0.0000 0.0000 0.0000 x4  8 Br 3.23
H1 0.0000 0.0000 0.5000 x4  8 Br 3.23
Br1 0.2500 0.2500 0.2500 x8  4 H 3.23, 4 Sr 3.23

A geometry-optimized Sr5H3Br12 structure. Source: the Alexandria database, functional GGA-PBE.

Properties
VASP energy in eV per atom: -2.98
Density in kg/m³: 2755

a b c (Å): 18.8993 18.8993 18.8993
angles (deg): 90.00 90.00 90.00
Last column: nearest neighbours and their distance in Å.
Space group Ia-3d (No. 230)
Symmetry-distinct sites (fractional):
Sr1 0.0000 0.0000 0.0000 x16  6 Br 3.07
Sr2 0.0000 0.2500 0.3750 x24  4 Br 2.95
H1 0.0000 0.2500 0.1250 x24  4 Br 3.47
Br1 0.0420 0.0719 0.6394 x96  2 Sr 2.95-3.07

A geometry-optimized SrH2Br2 structure. Source: the Alexandria database, functional GGA-PBE.

Properties
VASP energy in eV per atom: -3.10
Density in kg/m³: 3016

a b c (Å): 4.5979 16.1050 7.4188
angles (deg): 90.00 90.00 90.00
Last column: nearest neighbours and their distance in Å.
Space group Cmc2_1 (No. 36)
Symmetry-distinct sites (fractional):
Sr1 0.0000 0.0459 0.0000 x4  2 H 2.26-2.27
H1 0.0000 0.0612 0.3036 x4  2 Sr 2.26-2.27
H2 0.0000 0.3345 0.3655 x4  1 Br 1.52
Br1 0.0000 0.3014 0.5576 x4  1 H 1.52
Br2 0.0000 0.4227 0.1700 x4  1 H 2.03

A geometry-optimized SrHBr2 structure. Source: the Alexandria database, functional GGA-PBE.

Properties
VASP energy in eV per atom: -2.97
Density in kg/m³: 2401

a b c (Å): 6.6613 6.6613 15.4874
angles (deg): 90.00 90.00 90.00
Last column: nearest neighbours and their distance in Å.
Space group I-42d (No. 122)
Symmetry-distinct sites (fractional):
Sr1 0.0000 0.0000 0.0000 x4  4 Br 2.95
H1 0.0000 0.0000 0.5000 x4  4 Br 3.16
Br1 0.2207 0.2500 0.1250 x8  2 Sr 2.95, 2 H 3.16

A geometry-optimized Sr2H3Br structure. Source: the Alexandria database, functional GGA-PBE.

Properties
VASP energy in eV per atom: -3.44
Density in kg/m³: 3893

a b c (Å): 16.3337 4.0415 10.2010
angles (deg): 90.00 101.17 90.00
Last column: nearest neighbours and their distance in Å.
Space group C2/m (No. 12)
Symmetry-distinct sites (fractional):
Sr1 0.0297 0.0000 0.2789 x4  5 H 2.52-2.79
Sr2 0.1453 0.0000 0.9565 x4  5 H 2.42-2.50
Sr3 0.1912 0.5000 0.6406 x4  6 H 2.49-2.64
H1 0.0000 0.0000 0.0000 x2  4 Sr 2.50-2.79
H2 0.0503 0.5000 0.8219 x4  4 Sr 2.52-2.75, 3 H 2.68-2.69
H3 0.1238 0.0000 0.7153 x4  4 Sr 2.42-2.52, 2 H 2.69
H4 0.1759 0.0000 0.4712 x4  4 Sr 2.64-2.78, 1 H 2.78
H5 0.2168 0.5000 0.8987 x4  4 Sr 2.44-2.58, 1 H 2.68
Br1 0.0000 0.5000 0.5000 x2  6 Sr 3.13-3.17, 6 H 3.23-3.36
Br2 0.1607 0.5000 0.2078 x4  6 Sr 3.13-3.30, 7 H 3.18-3.46

A geometry-optimized Sr2H2Br structure. Source: the Alexandria database, functional GGA-PBE.

Properties
VASP energy in eV per atom: -3.22
Density in kg/m³: 3788

a b c (Å): 4.0122 4.0122 14.0077
angles (deg): 90.00 90.00 90.00
Last column: nearest neighbours and their distance in Å.
Space group I4/mmm (No. 139)
Symmetry-distinct sites (fractional):
Sr1 0.0000 0.0000 0.1540 x4  4 H 2.41
H1 0.0000 0.5000 0.2500 x4  4 Sr 2.41
Br1 0.0000 0.0000 0.5000 x2  8 Sr 3.56

A geometry-optimized SrHBr structure. Source: the Alexandria database, functional GGA-PBE.

Properties
VASP energy in eV per atom: -3.63
Density in kg/m³: 4233

a b c (Å): 4.2343 4.2343 7.3741
angles (deg): 90.00 90.00 90.00
Last column: nearest neighbours and their distance in Å.
Space group P4/nmm (No. 129, origin choice 2)
Symmetry-distinct sites (fractional):
Sr1 0.2500 0.2500 0.1842 x2  4 H 2.52
H1 0.2500 0.7500 0.0000 x2  4 Sr 2.52
Br1 0.2500 0.2500 0.6549 x2  5 Sr 3.22-3.47, 4 H 3.31

A geometry-optimized TaH2Br structure. Source: the Alexandria database, functional GGA-PBE.

Properties
Relative energy among the computed polymorphs in meV per atom: 899.8
Density in kg/m³: 9635

a b c (Å): 5.6590 5.6590 5.6590
angles (deg): 90.00 90.00 90.00
Last column: nearest neighbours and their distance in Å.
Space group Fm-3m (No. 225)
Symmetry-distinct sites (fractional):
Ta1 0.0000 0.0000 0.0000 x4  8 H 2.45
H1 0.2500 0.2500 0.2500 x8  4 Ta 2.45, 4 Br 2.45
Br1 0.0000 0.0000 0.5000 x4  8 H 2.45

A geometry-optimized TaH2Br structure. Source: the Alexandria database, functional GGA-PBE.

Properties
Relative energy among the computed polymorphs in meV per atom: 0.0
Density in kg/m³: 8804

a b c (Å): 5.9924 5.9924 5.5225
angles (deg): 90.00 90.00 90.00
Last column: nearest neighbours and their distance in Å.
Space group I-42d (No. 122)
Symmetry-distinct sites (fractional):
Ta1 0.0000 0.0000 0.0000 x4  4 H 1.86
H1 0.1420 0.7500 0.1250 x8  2 Ta 1.86
Br1 0.0000 0.0000 0.5000 x4  8 H 2.69-2.71, 2 Ta 2.76

A geometry-optimized TaHBr structure. Source: the Alexandria database, functional GGA-PBE.

Properties
VASP energy in eV per atom: -5.63
Density in kg/m³: 6649

a b c (Å): 3.8961 11.7795 11.4004
angles (deg): 90.00 90.00 90.00
Last column: nearest neighbours and their distance in Å.
Space group Pnna (No. 52)
Symmetry-distinct sites (fractional):
Ta1 0.0278 0.0854 0.0891 x8  2 Br 2.60-2.76, 4 Ta 2.65-2.87
H1 0.2129 0.5291 0.0484 x8  1 H 0.74
Br1 0.2105 0.2500 0.2500 x4  2 Ta 2.76
Br2 0.2500 0.0000 0.7229 x4  2 Ta 2.60, 4 H 2.71-2.91

no.,magnetic moment (Bohr magnetons per cell)
1,0.000
2,0.000
3,4.000
4,38.781
5,0.000
6,4.000
7,0.000
8,0.000
9,0.000
10,0.004
11,0.000
12,0.000